# 1
! GGA-PBE BPIrCl2, optimized geometry; values from VASP
! * formation energy without anion corrections: 5.521 eV per formula unit
! * energy above the lowest structure with this stoichiometry: 0.000 eV per atom
! * mass density: 4.49 g/cm³
! * E_tot: -3.824 eV per atom
! * SG: P4/mmm (123)
! * N(E_F): 2.678 states/eV/f.u.
&SYSTEM
  ibrav = 0, nat = 5, ntyp = 4
/
ATOMIC_SPECIES
B 10.81 B.upf
P 30.97 P.upf
Ir 192.22 Ir.upf
Cl 35.45 Cl.upf
ATOMIC_POSITIONS crystal
B 0.000 0.000 0.000
P 0.500 0.500 0.000
Ir 0.500 0.500 0.500
Cl 0.000 0.500 0.500
Cl 0.500 0.000 0.500
CELL_PARAMETERS angstrom
5.054 0.000 0.000
0.000 5.054 0.000
0.000 0.000 4.419

# 2
! GGA-PBE BPIrCl2, optimized geometry; values from VASP
! * formation energy without anion corrections: 6.061 eV per formula unit
! * energy above the lowest structure with this stoichiometry: 0.108 eV per atom
! * mass density: 6.84 g/cm³
! * E_tot: -3.716 eV per atom
! * SG: P4/mmm (123)
! * N(E_F): 4.576 states/eV/f.u.
&SYSTEM
  ibrav = 0, nat = 5, ntyp = 4
/
ATOMIC_SPECIES
B 10.81 B.upf
P 30.97 P.upf
Ir 192.22 Ir.upf
Cl 35.45 Cl.upf
ATOMIC_POSITIONS crystal
B 0.000 0.000 0.000
P 0.000 0.000 0.500
Ir 0.500 0.500 0.500
Cl 0.000 0.500 0.000
Cl 0.500 0.000 0.000
CELL_PARAMETERS angstrom
4.095 0.000 0.000
0.000 4.095 0.000
0.000 0.000 4.413

# 3
! GGA-PBE Rb2BIrCl, optimized geometry; values from VASP
! * formation energy without anion corrections: 4.965 eV per formula unit
! * mass density: 3.83 g/cm³
! * E_tot: -2.871 eV per atom
! * SG: P4/mmm (123)
! * N(E_F): 5.318 states/eV/f.u.
&SYSTEM
  ibrav = 0, nat = 5, ntyp = 4
/
ATOMIC_SPECIES
Rb 85.47 Rb.upf
B 10.81 B.upf
Ir 192.22 Ir.upf
Cl 35.45 Cl.upf
ATOMIC_POSITIONS crystal
Rb 0.000 0.500 0.000
Rb 0.500 0.000 0.000
B 0.000 0.000 0.500
Ir 0.500 0.500 0.500
Cl 0.500 0.500 0.000
CELL_PARAMETERS angstrom
6.386 0.000 0.000
0.000 6.386 0.000
0.000 0.000 4.357